No. 1
Computed, not measured: a relaxed structure of Fe5Co at the GGA-PBE level of DFT.

Cell and atoms, written as POSCAR:
```
Fe5Co
1.0
2.4675 0.0000 0.0000
0.0000 4.0250 0.0000
-0.0257 0.0000 6.9666
Fe Co
5 1
Direct
0.0000 0.0000 0.0000 Fe
0.3300 0.0000 0.3345 Fe
0.3302 0.5000 0.8321 Fe
0.6700 0.0000 0.6655 Fe
0.6698 0.5000 0.1679 Fe
0.0000 0.5000 0.5000 Co
```

As for the density of states at the Fermi level: 0.76 states/eV/atom. The crystal system is monoclinic. The calculation puts the total energy at -49.5 eV per cell.

No. 2
Computed, not measured: a relaxed structure of P5C at the GGA-PBE level of DFT.

Cell and atoms, written as POSCAR:
```
P5C
1.0
4.6743 0.0000 0.0000
0.0000 1.5067 6.9427
0.0000 -1.5067 6.9427
P C
5 1
Direct
0.0000 0.0000 0.0000 P
0.0000 0.2610 0.2610 P
0.0000 0.6296 0.6296 P
0.5000 0.2122 0.2122 P
0.5000 0.5024 0.5024 P
0.5000 0.6335 0.6335 C
```

As for the density of states at the Fermi level: 0.29 states/eV/atom. The crystal system is orthorhombic. For the distance to the lowest polymorph of the same formula, the calculation gives 289 meV/atom.

No. 3
Computed, not measured: a relaxed structure of Ac2In4HgPt3 at the GGA-PBE level of DFT.

Cell and atoms, written as POSCAR:
```
Ac2In4HgPt3
1.0
4.6439 0.0000 0.0000
0.0000 4.6439 0.0000
0.0000 0.0000 11.4990
Ac In Hg Pt
2 4 1 3
Direct
0.0000 0.5000 0.2448 Ac
0.5000 0.0000 0.7552 Ac
0.0000 0.0000 0.0000 In
0.0000 0.5000 0.6353 In
0.5000 0.0000 0.3647 In
0.5000 0.5000 0.0000 In
0.0000 0.0000 0.5000 Hg
0.0000 0.5000 0.8669 Pt
0.5000 0.0000 0.1331 Pt
0.5000 0.5000 0.5000 Pt
```

As for the density of states at the Fermi level: 0.73 states/eV/atom. The crystal system is tetragonal. The calculation puts the total energy at -44.2 eV per cell.